(1)
# Cr2PAu

A geometry-optimized Cr2PAu structure (PBE, Alexandria via LeMat-Bulk).

abc: 3.5060 5.8717 5.8717
angles: 29.28 90.00 90.00
Sites, in units of the cell vectors:
Cr  0.0000  0.0000  0.0000
Cr  0.5000  0.3708  0.3708
P  0.5000  0.5772  0.5772
Au  0.0000  0.7418  0.7418

The space group is No. 38.

=====

(2)
# Cr2PAu

A geometry-optimized Cr2PAu structure (PBE, Alexandria via LeMat-Bulk).

abc: 4.4207 4.4207 4.4207
angles: 60.00 60.00 60.00
Sites, in units of the cell vectors:
Cr  0.0000  0.0000  0.0000
Cr  0.2500  0.2500  0.2500
P  0.7500  0.7500  0.7500
Au  0.5000  0.5000  0.5000

The space group is No. 216.

=====

Number 1: M_tot 1.11 μB/f.u., formation enthalpy at 0 K 62.6 meV/atom. Number 2: M_tot 0.39 μB/f.u., formation enthalpy at 0 K 373.9 meV/atom.